[1]
TbNd2Cd | PBE-GGA | relaxed

Lattice parameters (Å, degrees): 3.533 3.533 12.598 81.94 81.94 60.00
Positions (direct):
Nd (0.911, 0.911, 0.267)
Nd (0.089, 0.089, 0.733)
Tb (0.500, 0.500, 0.500)
Cd (0.000, 0.000, 0.000)

Values from the calculation:
energy: -14.50 eV/f.u.
magnetic moment: 0.000 μB per cell
relative energy among the computed polymorphs: 0.285 eV/atom
ΔH_f (0 K): 56 kJ/mol of formula units

[2]
TbNdThCd | PBE-GGA | relaxed

Lattice parameters (Å, degrees): 3.641 3.641 9.018 90.00 90.00 90.00
Positions (direct):
Th (0.500, 0.500, 0.815)
Tb (0.000, 0.000, 0.553)
Cd (0.500, 0.500, 0.330)
Nd (0.000, 0.000, 0.087)

Values from the calculation:
energy: -18.39 eV/f.u.
magnetic moment: 0.000 μB per cell
relative energy among the computed polymorphs: 0.000 eV/atom
ΔH_f (0 K): -64 kJ/mol of formula units

[3]
TbNdThCd | PBE-GGA | relaxed

Lattice parameters (Å, degrees): 5.533 5.533 5.533 60.00 60.00 60.00
Positions (direct):
Cd (0.250, 0.250, 0.250)
Tb (0.000, 0.000, 0.000)
Th (0.750, 0.750, 0.750)
Nd (0.500, 0.500, 0.500)

Values from the calculation:
energy: -17.40 eV/f.u.
magnetic moment: 0.002 μB per cell
relative energy among the computed polymorphs: 0.249 eV/atom
ΔH_f (0 K): 32 kJ/mol of formula units